# 1
The following is a GGA-PBE calculation of an optimized crystal structure of KTi2ZnN, from Alexandria.

Properties
The calculation puts the total magnetization at 4.2 Bohr magnetons per cell. As for the space-group type: P4/mmm (123). As for the formation energy (no corrections): 2.919 eV/atom.

abc: 4.7373 4.9067 4.7373
angles: 90.00 90.00 90.00
Last column: magnetic moment on the atom in μB.
Fractional positions:
Zn  0.0000  0.5000  0.0000  0.01
N  0.5000  0.5000  0.5000  0.63
K  0.0000  0.0000  0.0000  0.23
Ti  0.0000  0.0000  0.5000  1.45
Ti  0.5000  0.0000  0.0000  1.12

=====

# 2
The following is a GGA-PBE calculation of an optimized crystal structure of Cs3As4P2, from Alexandria.

Properties
The calculation puts the total magnetization at 0.0 Bohr magnetons per cell. As for the space-group type: P-1 (2). The energy relative to the elements comes out at -0.286 eV/atom.

abc: 8.2594 8.9914 11.4971
angles: 108.25 129.39 80.94
Fractional positions:
Cs  0.9832  0.9962  0.7615
Cs  0.3497  0.3310  0.0779
Cs  0.0168  0.0038  0.2385
Cs  0.6503  0.6690  0.9221
Cs  0.3280  0.3309  0.5860
Cs  0.6720  0.6691  0.4140
As  0.5168  0.0780  0.8560
As  0.8081  0.2617  0.9716
As  0.4832  0.9220  0.1440
As  0.1919  0.7383  0.0284
As  0.1705  0.7747  0.5154
As  0.1591  0.5657  0.3123
As  0.8295  0.2253  0.4846
As  0.8409  0.4343  0.6877
P  0.4835  0.9061  0.6442
P  0.8599  0.4209  0.1955
P  0.5165  0.0939  0.3558
P  0.1401  0.5791  0.8045

=====

# 3
The following is a GGA-PBE calculation of an optimized crystal structure of HoGaPb, from Alexandria.

Properties
The calculation puts the total magnetization at 0.2 Bohr magnetons per cell. As for the space-group type: I4mm (107). The energy relative to the elements comes out at 0.004 eV/atom. As for the polymorph energy (0 for the lowest one): 0.3788 eV/atom.

abc: 3.3515 3.3515 8.1221
angles: 101.91 101.91 90.00
Last column: magnetic moment on the atom in μB.
Fractional positions:
Pb  0.9571  0.9571  0.9142  0.00
Ho  0.7565  0.7565  0.5131  0.15
Ga  0.1363  0.1363  0.2727  0.00

=====

# 4
The following is a GGA-PBE calculation of an optimized crystal structure of ZrSc2Co5B2, from Alexandria.

Properties
The calculation puts the total magnetization at 0.0 Bohr magnetons per cell. As for the space-group type: P4/mbm (127). The energy relative to the elements comes out at -0.509 eV/atom.

abc: 3.0687 8.9158 8.9158
angles: 90.00 90.00 90.00
Fractional positions:
Zr  0.0000  0.0000  0.0000
Zr  0.0000  0.5000  0.5000
Sc  0.0000  0.6740  0.1740
Sc  0.0000  0.3260  0.8260
Sc  0.0000  0.1740  0.3260
Sc  0.0000  0.8260  0.6740
Co  0.5000  0.2308  0.0708
Co  0.5000  0.7692  0.9292
Co  0.5000  0.0708  0.7692
Co  0.5000  0.7308  0.4292
Co  0.5000  0.9292  0.2308
Co  0.5000  0.2692  0.5708
Co  0.5000  0.5708  0.7308
Co  0.5000  0.4292  0.2692
Co  0.5000  0.5000  0.0000
Co  0.5000  0.0000  0.5000
B  0.0000  0.1184  0.6184
B  0.0000  0.8816  0.3816
B  0.0000  0.6184  0.8816
B  0.0000  0.3816  0.1184

=====

# 5
The following is a GGA-PBE calculation of an optimized crystal structure of SrLiPd2, from Alexandria.

Properties
The calculation puts the total magnetization at 0.0 Bohr magnetons per cell. As for the space-group type: P4/mmm (123). The energy relative to the elements comes out at -0.371 eV/atom. As for the polymorph energy (0 for the lowest one): 0.1864 eV/atom.

abc: 3.4736 3.4736 6.6117
angles: 90.00 90.00 90.00
Fractional positions:
Sr  0.5000  0.5000  0.5000
Pd  0.0000  0.0000  0.7937
Pd  0.0000  0.0000  0.2063
Li  0.5000  0.5000  0.0000

=====

# 6
The following is a GGA-PBE calculation of an optimized crystal structure of IrOsF, from Alexandria.

Properties
The calculation puts the total magnetization at 0.0 Bohr magnetons per cell. As for the space-group type: P6mm (183). As for the polymorph energy (0 for the lowest one): 0.1132 eV/atom. As for the formation energy (no corrections): -0.209 eV/atom.

abc: 2.7021 2.7021 6.7052
angles: 90.00 90.00 120.00
Fractional positions:
Ir  0.0000  0.0000  0.1933
Os  0.0000  0.0000  0.8428
F  0.0000  0.0000  0.5396

=====

# 7
The following is a GGA-PBE calculation of an optimized crystal structure of Li2Cu2Ru, from Alexandria.

Properties
The calculation puts the total magnetization at 0.0 Bohr magnetons per cell. As for the space-group type: P4/mbm (127). The energy relative to the elements comes out at 0.195 eV/atom.

abc: 6.8454 6.8454 2.5901
angles: 90.00 90.00 90.00
Fractional positions:
Ru  0.0000  0.0000  0.0000
Ru  0.5000  0.5000  0.0000
Cu  0.1810  0.6810  0.5000
Cu  0.6810  0.8190  0.5000
Cu  0.8190  0.3190  0.5000
Cu  0.3190  0.1810  0.5000
Li  0.3779  0.8779  0.0000
Li  0.8779  0.6221  0.0000
Li  0.6221  0.1221  0.0000
Li  0.1221  0.3779  0.0000

=====

# 8
The following is a GGA-PBE calculation of an optimized crystal structure of Sr2FeBi2, from Alexandria.

Properties
The calculation puts the total magnetization at 0.1 Bohr magnetons per cell. As for the space-group type: P4/mbm (127). The energy relative to the elements comes out at 0.496 eV/atom. As for the polymorph energy (0 for the lowest one): 0.2483 eV/atom.

abc: 9.2448 9.2448 3.9693
angles: 90.00 90.00 90.00
Fractional positions:
Sr  0.3666  0.8666  0.0000
Sr  0.8666  0.6334  0.0000
Sr  0.6334  0.1334  0.0000
Sr  0.1334  0.3666  0.0000
Bi  0.1740  0.6740  0.5000
Bi  0.6740  0.8260  0.5000
Bi  0.8260  0.3260  0.5000
Bi  0.3260  0.1740  0.5000
Fe  0.0000  0.0000  0.0000
Fe  0.5000  0.5000  0.0000

=====

# 9
The following is a GGA-PBE calculation of an optimized crystal structure of BaCu2Ag, from Alexandria.

Properties
The calculation puts the total magnetization at 0.0 Bohr magnetons per cell. As for the space-group type: Imm2 (44). The energy relative to the elements comes out at 0.146 eV/atom.

abc: 5.3470 5.3470 5.3470
angles: 131.38 112.63 87.38
Fractional positions:
Ag  0.5690  0.5690  0.0000
Ba  0.2413  0.7413  0.5000
Cu  0.9138  0.9138  0.0000
Cu  0.7759  0.2759  0.5000

=====

# 10
The following is a GGA-PBE calculation of an optimized crystal structure of LaCdIn, from Alexandria.

Properties
The calculation puts the total magnetization at 0.0 Bohr magnetons per cell. As for the space-group type: Imm2 (44). The energy relative to the elements comes out at -0.230 eV/atom.

abc: 5.7767 5.7767 5.7767
angles: 143.77 129.90 63.38
Fractional positions:
Cd  0.0016  0.0016  0.0000
In  0.3298  0.3298  0.0000
La  0.6686  0.6686  0.0000

=====

# 11
The following is a GGA-PBE calculation of an optimized crystal structure of Nb2HgI, from Alexandria.

Properties
The calculation puts the total magnetization at 0.0 Bohr magnetons per cell. As for the space-group type: Fm-3m (225). As for the polymorph energy (0 for the lowest one): 0.0000 eV/atom. As for the formation energy (no corrections): 0.598 eV/atom.

abc: 4.8355 4.8355 4.8355
angles: 60.00 60.00 60.00
Fractional positions:
I  0.0000  0.0000  0.0000
Nb  0.2500  0.2500  0.2500
Nb  0.7500  0.7500  0.7500
Hg  0.5000  0.5000  0.5000

=====

# 12
The following is a GGA-PBE calculation of an optimized crystal structure of LaTc4Ge4, from Alexandria.

Properties
The calculation puts the total magnetization at 0.0 Bohr magnetons per cell. As for the space-group type: P4_2/n (86). The energy relative to the elements comes out at -0.231 eV/atom.

abc: 4.7472 8.3827 8.3827
angles: 90.00 90.00 90.00
Fractional positions:
La  0.0000  0.0000  0.0000
La  0.5000  0.5000  0.5000
Tc  0.4267  0.3883  0.8776
Tc  0.9267  0.6224  0.8883
Tc  0.4267  0.6117  0.1224
Tc  0.0733  0.1117  0.6224
Tc  0.5733  0.8776  0.6117
Tc  0.0733  0.8883  0.3776
Tc  0.9267  0.3776  0.1117
Tc  0.5733  0.1224  0.3883
Ge  0.5654  0.8502  0.2883
Ge  0.5654  0.1498  0.7117
Ge  0.0654  0.7883  0.6498
Ge  0.9346  0.3502  0.7883
Ge  0.9346  0.6498  0.2117
Ge  0.4346  0.2883  0.1498
Ge  0.4346  0.7117  0.8502
Ge  0.0654  0.2117  0.3502

=====

> Number 9 is which compound?

BaCu2Ag